# GGA+U MgMnCuF2, relaxed
data_MgMnCuF2
_space_group_name_H-M_alt 'P 4/m m m'
_space_group_IT_number 123
_space_group_name_Hall '-P 4 2'
_cell_length_a 4.064
_cell_length_b 4.064
_cell_length_c 5.289
_cell_angle_alpha 90.00
_cell_angle_beta 90.00
_cell_angle_gamma 90.00
loop_
_atom_site_label
_atom_site_fract_x
_atom_site_fract_y
_atom_site_fract_z
Mg1 0.000 0.000 0.000
Mn1 0.500 0.500 0.000
Cu1 0.500 0.500 0.500
F1 0.000 0.500 0.500
# crystal system: tetragonal
# VASP energy: -3.977 eV/atom